Material: TaCrPb2
Method: DFT, PBE
State: relaxed

Geometry as POSCAR:
```
TaCrPb2
1.0
3.2136 0.0000 0.0000
0.0000 3.2136 0.0000
0.0000 0.0000 8.4825
Ta Cr Pb
1 1 2
Direct
0.0000 0.0000 0.0000
0.0000 0.0000 0.5000
0.5000 0.5000 0.2566
0.5000 0.5000 0.7434
```

Results
* offset from the most stable computed form: 1.55 eV per formula unit
* energy of formation: 0.7379 eV/atom
* electronic total energy: -6.485 eV/atom